No. 1
DFT (PBE) results for an optimized crystal structure of Sc3MoN4.

## Properties
**Calculated density**: 5.423 g/cm3
**Uncorrected formation energy**: -1548.2 meV per atom
**Total magnetic moment**: 0.00 μB per cell
**Energy**: -9.4391 eV/atom

```
16
Lattice="5.475 0.000 0.000 0.000 6.304 0.000 -1.772 0.000 5.089" Properties=species:S:1:pos:R:3 pbc="T T T"
Sc -0.443 0.769 1.272
Sc -1.329 5.535 3.817
Sc 1.408 0.808 3.817
Sc 2.294 2.355 1.272
Sc 1.408 3.949 3.817
Sc 2.294 5.496 1.272
Mo -1.329 2.475 3.817
Mo -0.443 3.829 1.272
N -0.426 0.817 5.088
N 0.460 5.487 2.544
N 0.485 2.345 2.542
N -0.401 3.959 5.087
N 4.103 2.345 0.002
N 3.217 3.959 2.547
N 3.242 0.817 2.546
N 4.128 5.487 0.001
```

No. 2
DFT (PBE) results for an optimized crystal structure of ScPI2O.

## Properties
**Calculated density**: 4.376 g/cm3
**Uncorrected formation energy**: -611.8 meV per atom
**Total magnetic moment**: 0.00 μB per cell
**Energy**: -4.5718 eV/atom
**Energy above the most stable polymorph in this dataset**: 0.0000 eV/atom

```
5
Lattice="5.842 0.000 0.000 0.000 5.842 0.000 0.000 0.000 3.844" Properties=species:S:1:pos:R:3 pbc="T T T"
Sc 0.000 0.000 0.000
P 2.921 2.921 1.922
I 0.000 2.921 0.000
I 2.921 0.000 0.000
O 0.000 0.000 1.922
```

No. 3
DFT (PBE) results for an optimized crystal structure of LiNd2AlAg6.

## Properties
**Calculated density**: 7.486 g/cm3
**Total magnetic moment**: 0.00 μB per cell
**Energy**: -3.3678 eV/atom
**ΔH_f (0 K)**: -0.1378 eV/atom

```
10
Lattice="5.616 0.000 0.000 -2.800 6.250 0.000 -2.797 -1.466 6.128" Properties=species:S:1:pos:R:3 pbc="T T T"
Li 0.000 0.000 0.000
Nd -2.798 3.455 4.576
Nd 2.816 1.329 1.551
Al 0.009 2.392 3.064
Ag -1.387 0.162 4.210
Ag 0.008 2.540 0.435
Ag -1.388 4.626 1.913
Ag 1.407 0.159 4.215
Ag 0.011 2.245 5.693
Ag 1.405 4.623 1.918
```

No. 4
DFT (PBE) results for an optimized crystal structure of ZrMoAu2.

## Properties
**Calculated density**: 13.375 g/cm3
**Total magnetic moment**: 0.00 μB per cell
**Energy**: -6.6173 eV/atom
**ΔH_f (0 K)**: -0.1338 eV/atom
**Energy above the most stable polymorph in this dataset**: 0.0000 eV/atom

```
4
Lattice="4.128 0.000 0.000 0.000 4.128 0.000 0.000 0.000 4.234" Properties=species:S:1:pos:R:3 pbc="T T T"
Zr 0.000 0.000 0.000
Mo 2.064 2.064 0.000
Au 0.000 2.064 2.117
Au 2.064 0.000 2.117
```